(1)
This record from Alexandria via LeMat-Bulk describes TbTlCo2Cl8 after structural relaxation. The functional is PBE.

Output
crystal system	trigonal
raw total energy	-4.17	eV/atom

Cell lengths 10.286, 10.286, 10.286 Å; angles 36.52, 36.52, 36.52 degrees
Fractional coordinates of all 12 atoms:
1 Tb 0.000 0.000 0.000
2 Tl 0.500 0.500 0.500
3 Co 0.253 0.253 0.253
4 Co 0.747 0.747 0.747
5 Cl 0.058 0.719 0.388
6 Cl 0.177 0.177 0.177
7 Cl 0.281 0.612 0.942
8 Cl 0.388 0.058 0.719
9 Cl 0.612 0.942 0.281
10 Cl 0.719 0.388 0.058
11 Cl 0.823 0.823 0.823
12 Cl 0.942 0.281 0.612

***

(2)
This record from Alexandria via LeMat-Bulk describes TbTlCoCl6 after structural relaxation. The functional is PBE.

Output
crystal system	trigonal
raw total energy	-4.21	eV/atom

Cell lengths 6.681, 6.681, 14.207 Å; angles 90.00, 90.00, 120.00 degrees
Fractional coordinates of all 18 atoms:
1 Tb 0.333 0.667 0.250
2 Tb 0.667 0.333 0.750
3 Tl 0.000 0.000 0.000
4 Tl 0.000 0.000 0.500
5 Co 0.333 0.667 0.750
6 Co 0.667 0.333 0.250
7 Cl 0.023 0.384 0.648
8 Cl 0.023 0.640 0.852
9 Cl 0.360 0.384 0.852
10 Cl 0.360 0.977 0.648
11 Cl 0.384 0.023 0.148
12 Cl 0.384 0.360 0.352
13 Cl 0.616 0.640 0.648
14 Cl 0.616 0.977 0.852
15 Cl 0.640 0.023 0.352
16 Cl 0.640 0.616 0.148
17 Cl 0.977 0.360 0.148
18 Cl 0.977 0.616 0.352

***

(3)
This record from Alexandria via LeMat-Bulk describes Tb2Y2Co2Cl after structural relaxation. The functional is PBE.

Output
crystal system	monoclinic
raw total energy	-5.96	eV/atom

Cell lengths 6.972, 6.972, 8.205 Å; angles 117.97, 117.97, 30.32 degrees
Fractional coordinates of all 7 atoms:
1 Tb 0.023 0.023 0.224
2 Tb 0.977 0.977 0.776
3 Y 0.270 0.270 0.191
4 Y 0.730 0.730 0.809
5 Co 0.397 0.397 0.970
6 Co 0.603 0.603 0.030
7 Cl 0.500 0.500 0.500

***

(4)
This record from Alexandria via LeMat-Bulk describes CoTc2Cl after structural relaxation. The functional is PBE.

Output
crystal system	orthorhombic
distance to the lowest polymorph of the same formula	0.3401	eV/atom

Cell lengths 5.063, 5.063, 5.063 Å; angles 147.44, 129.41, 61.46 degrees
Fractional coordinates of all 4 atoms:
1 Co 0.000 0.000 0.000
2 Tc 0.271 0.771 0.500
3 Tc 0.539 0.539 0.000
4 Cl 0.771 0.271 0.500

***

(5)
This record from Alexandria via LeMat-Bulk describes CoTc3Cl after structural relaxation. The functional is PBE.

Output
crystal system	cubic
distance to the lowest polymorph of the same formula	0.0000	eV/atom

Cell lengths 4.278, 4.278, 4.278 Å; angles 90.00, 90.00, 90.00 degrees
Fractional coordinates of all 5 atoms:
1 Co 0.000 0.000 0.000
2 Tc 0.000 0.500 0.500
3 Tc 0.500 0.000 0.500
4 Tc 0.500 0.500 0.000
5 Cl 0.500 0.500 0.500

***

(6)
This record from Alexandria via LeMat-Bulk describes CoTc3Cl after structural relaxation. The functional is PBE.

Output
crystal system	cubic
distance to the lowest polymorph of the same formula	0.3514	eV/atom

Cell lengths 4.519, 4.519, 4.519 Å; angles 90.00, 90.00, 90.00 degrees
Fractional coordinates of all 5 atoms:
1 Co 0.000 0.000 0.000
2 Tc 0.000 0.000 0.500
3 Tc 0.000 0.500 0.000
4 Tc 0.500 0.000 0.000
5 Cl 0.500 0.500 0.500